Material: Sn4P3O12
Method: DFT, PBE-GGA
State: optimized geometry

Formation energy (no corrections)   -1811 meV/atom

Cell lengths 9.851, 9.851, 7.199 Å; angles 90.00, 90.00, 120.00 degrees
Element x y z (fractional)
Sn: 0.032 0.269 0.000
Sn: 0.237 0.968 0.000
Sn: 0.269 0.237 0.500
Sn: 0.333 0.667 0.661
Sn: 0.667 0.333 0.161
Sn: 0.731 0.763 0.000
Sn: 0.763 0.032 0.500
Sn: 0.968 0.731 0.500
P: 0.020 0.608 0.957
P: 0.392 0.412 0.957
P: 0.412 0.020 0.457
P: 0.588 0.980 0.957
P: 0.608 0.588 0.457
P: 0.980 0.392 0.457
O: 0.055 0.703 0.772
O: 0.091 0.730 0.115
O: 0.104 0.510 0.938
O: 0.160 0.500 0.483
O: 0.270 0.360 0.115
O: 0.297 0.352 0.772
O: 0.340 0.840 0.483
O: 0.352 0.055 0.272
O: 0.360 0.091 0.615
O: 0.406 0.896 0.938
O: 0.490 0.594 0.938
O: 0.500 0.340 0.983
O: 0.500 0.660 0.483
O: 0.510 0.406 0.438
O: 0.594 0.104 0.438
O: 0.640 0.909 0.115
O: 0.648 0.945 0.772
O: 0.660 0.160 0.983
O: 0.703 0.648 0.272
O: 0.730 0.640 0.615
O: 0.840 0.500 0.983
O: 0.896 0.490 0.438
O: 0.909 0.270 0.615
O: 0.945 0.297 0.272